Record 1
The following is a PBE calculation of a relaxed structure of Ta5W7, from OQMD via LeMat-Bulk.

The calculation puts the energy of formation from the pure elements at 247 meV/atom. Its relative energy among the computed polymorphs is 0.000 eV/atom. The value obtained for the magnetization is 0.006 μB/cell. For the calculated volume, the calculation gives 17.6 A^3/atom.

abc: 5.336 5.336 17.158
angles: 90.00 90.00 120.00
Sites, in units of the cell vectors:
Ta 0.500 0.000 0.000
Ta 0.000 0.500 0.000
Ta 0.500 0.500 0.000
Ta 0.667 0.333 0.157
Ta 0.667 0.333 0.343
Ta 0.500 0.000 0.500
Ta 0.000 0.500 0.500
Ta 0.500 0.500 0.500
Ta 0.333 0.667 0.657
Ta 0.333 0.667 0.843
W 0.000 0.000 0.100
W 0.333 0.667 0.126
W 0.163 0.326 0.250
W 0.163 0.837 0.250
W 0.674 0.837 0.250
W 0.333 0.667 0.374
W 0.000 0.000 0.400
W 0.000 0.000 0.600
W 0.667 0.333 0.626
W 0.326 0.163 0.750
W 0.837 0.163 0.750
W 0.837 0.674 0.750
W 0.667 0.333 0.874
W 0.000 0.000 0.900

***

Record 2
The following is a PBE calculation of a relaxed structure of Ta7W6, from OQMD via LeMat-Bulk.

The calculation puts the energy of formation from the pure elements at 380 meV/atom. Its relative energy among the computed polymorphs is 0.366 eV/atom. The value obtained for the magnetization is 0.008 μB/cell. For the calculated volume, the calculation gives 17.7 A^3/atom.

abc: 9.833 9.833 9.833
angles: 31.52 31.52 31.52
Sites, in units of the cell vectors:
Ta 0.000 0.000 0.000
Ta 0.584 0.090 0.090
Ta 0.090 0.584 0.090
Ta 0.910 0.910 0.416
Ta 0.090 0.090 0.584
Ta 0.910 0.416 0.910
Ta 0.416 0.910 0.910
W 0.168 0.168 0.168
W 0.352 0.352 0.352
W 0.455 0.455 0.455
W 0.545 0.545 0.545
W 0.648 0.648 0.648
W 0.832 0.832 0.832

***

Record 3
The following is a PBE calculation of a relaxed structure of Ta13W16, from OQMD via LeMat-Bulk.

The calculation puts the energy of formation from the pure elements at 170 meV/atom. Its relative energy among the computed polymorphs is 0.000 eV/atom. The value obtained for the magnetization is 0.037 μB/cell. For the calculated volume, the calculation gives 17.5 A^3/atom.

abc: 8.708 8.708 8.708
angles: 109.47 109.47 109.47
Sites, in units of the cell vectors:
Ta 0.000 0.000 0.000
Ta 0.683 0.406 0.000
Ta 0.406 0.683 0.000
Ta 0.594 0.594 0.277
Ta 0.723 0.317 0.317
Ta 0.317 0.723 0.317
Ta 0.683 0.000 0.406
Ta 0.000 0.683 0.406
Ta 0.594 0.277 0.594
Ta 0.277 0.594 0.594
Ta 0.406 0.000 0.683
Ta 0.000 0.406 0.683
Ta 0.317 0.317 0.723
W 0.640 0.000 0.000
W 0.370 0.185 0.000
W 0.185 0.370 0.000
W 0.000 0.640 0.000
W 0.370 0.000 0.185
W 0.000 0.370 0.185
W 0.815 0.815 0.186
W 0.360 0.360 0.360
W 0.185 0.000 0.370
W 0.000 0.185 0.370
W 0.814 0.630 0.630
W 0.630 0.814 0.630
W 0.000 0.000 0.640
W 0.630 0.630 0.814
W 0.815 0.186 0.815
W 0.186 0.815 0.815

***

Record 4
The following is a PBE calculation of a relaxed structure of Ta4W9, from OQMD via LeMat-Bulk.

The calculation puts the energy of formation from the pure elements at 135 meV/atom. Its relative energy among the computed polymorphs is 0.072 eV/atom. The value obtained for the magnetization is 0.007 μB/cell. For the calculated volume, the calculation gives 17.3 A^3/atom.

abc: 9.899 9.899 9.899
angles: 30.79 30.79 30.79
Sites, in units of the cell vectors:
Ta 0.351 0.351 0.351
Ta 0.454 0.454 0.454
Ta 0.546 0.546 0.546
Ta 0.649 0.649 0.649
W 0.000 0.000 0.000
W 0.586 0.090 0.090
W 0.090 0.586 0.090
W 0.168 0.168 0.168
W 0.910 0.910 0.414
W 0.090 0.090 0.586
W 0.832 0.832 0.832
W 0.910 0.414 0.910
W 0.414 0.910 0.910